# PBE CaNdBiN, relaxed
# Total moment in Bohr magnetons per cell: 0.00
# Uncorrected formation energy in eV per atom: -0.88
# ρ in g/cm3: 6.6
# Fermi-level density of states in states/eV per atom: 0.5173
data_CaNdBiN
_chemical_formula_sum 'Ca2 Nd2 Bi2 N2'
_cell_length_a 4.703
_cell_length_b 4.703
_cell_length_c 9.309
_cell_angle_alpha 90.00
_cell_angle_beta 90.00
_cell_angle_gamma 90.00
_space_group_name_H-M_alt 'P 4/n m m'
_space_group_IT_number 129
loop_
_space_group_symop_operation_xyz
'x,y,z'
'-x,-y,-z'
'-y+1/2,x,z'
'y+1/2,-x,-z'
'-x+1/2,-y+1/2,z'
'x+1/2,y+1/2,-z'
'y,-x+1/2,z'
'-y,x+1/2,-z'
'x+1/2,-y,-z'
'-x+1/2,y,z'
'-y,-x,-z'
'y,x,z'
'-x,y+1/2,-z'
'x,-y+1/2,z'
'y+1/2,x+1/2,-z'
'-y+1/2,-x+1/2,z'
loop_
_atom_site_label
_atom_site_fract_x
_atom_site_fract_y
_atom_site_fract_z
Ca1 0.250 0.750 0.000
Nd1 0.250 0.250 0.315
Bi1 0.250 0.250 0.687
N1 0.250 0.250 0.082

=====

# PBE Ca2Nd4Bi3N2, relaxed
# Total moment in Bohr magnetons per cell: 0.00
# Uncorrected formation energy in eV per atom: -0.99
# ρ in g/cm3: 6.9
# Fermi-level density of states in states/eV per atom: 0.3711
data_Ca2Nd4Bi3N2
_chemical_formula_sum 'Ca4 Nd8 Bi6 N4'
_cell_length_a 4.927
_cell_length_b 4.927
_cell_length_c 25.982
_cell_angle_alpha 90.00
_cell_angle_beta 90.00
_cell_angle_gamma 90.00
_space_group_name_H-M_alt 'I 4/m m m'
_space_group_IT_number 139
_space_group_name_Hall '-I 4 2'
loop_
_atom_site_label
_atom_site_fract_x
_atom_site_fract_y
_atom_site_fract_z
Ca1 0.000 0.000 0.193
Nd1 0.000 0.500 0.088
Bi1 0.000 0.000 0.320
Bi2 0.000 0.000 0.500
N1 0.000 0.000 0.102

=====

# PBE Ca2NiBiN, relaxed
# Total moment in Bohr magnetons per cell: 0.00
# Uncorrected formation energy in eV per atom: -0.62
# ρ in g/cm3: 5.7
# Fermi-level density of states in states/eV per atom: 0.4457
data_Ca2NiBiN
_chemical_formula_sum 'Ca2 Ni1 Bi1 N1'
_cell_length_a 5.430
_cell_length_b 5.430
_cell_length_c 3.556
_cell_angle_alpha 90.00
_cell_angle_beta 90.00
_cell_angle_gamma 90.00
_space_group_name_H-M_alt 'P 4/m m m'
_space_group_IT_number 123
_space_group_name_Hall '-P 4 2'
loop_
_atom_site_label
_atom_site_fract_x
_atom_site_fract_y
_atom_site_fract_z
Ca1 0.000 0.500 0.000
Ni1 0.000 0.000 0.500
Bi1 0.500 0.500 0.500
N1 0.000 0.000 0.000

=====

# PBE CaBiN2O, relaxed
# Total moment in Bohr magnetons per cell: 3.00
# Uncorrected formation energy in eV per atom: 0.81
# ρ in g/cm3: 5.8
# Fermi-level density of states in states/eV per atom: 0.5786
data_CaBiN2O
_chemical_formula_sum 'Ca1 Bi1 N2 O1'
_cell_length_a 4.458
_cell_length_b 4.458
_cell_length_c 4.258
_cell_angle_alpha 90.00
_cell_angle_beta 90.00
_cell_angle_gamma 90.00
_space_group_name_H-M_alt 'P 4/m m m'
_space_group_IT_number 123
_space_group_name_Hall '-P 4 2'
loop_
_atom_site_label
_atom_site_fract_x
_atom_site_fract_y
_atom_site_fract_z
Ca1 0.000 0.000 0.000
Bi1 0.500 0.500 0.500
N1 0.000 0.500 0.000
O1 0.000 0.000 0.500

=====

# PBE CaBiN2O, relaxed
# Total moment in Bohr magnetons per cell: 0.63
# Uncorrected formation energy in eV per atom: 0.18
# ρ in g/cm3: 6.1
# Fermi-level density of states in states/eV per atom: 0.6638
data_CaBiN2O
_chemical_formula_sum 'Ca1 Bi1 N2 O1'
_cell_length_a 4.284
_cell_length_b 4.284
_cell_length_c 4.323
_cell_angle_alpha 90.00
_cell_angle_beta 90.00
_cell_angle_gamma 90.00
_space_group_name_H-M_alt 'P 4/m m m'
_space_group_IT_number 123
_space_group_name_Hall '-P 4 2'
loop_
_atom_site_label
_atom_site_fract_x
_atom_site_fract_y
_atom_site_fract_z
Ca1 0.000 0.000 0.000
Bi1 0.500 0.500 0.500
N1 0.000 0.500 0.500
O1 0.500 0.500 0.000

=====

# PBE Ca2BiOsN, relaxed
# Relative energy among the computed polymorphs in meV/atom: 0
# Total moment in Bohr magnetons per cell: 0.00
# Uncorrected formation energy in eV per atom: -0.48
# ρ in g/cm3: 7.8
# Fermi-level density of states in states/eV per atom: 0.3626
data_Ca2BiOsN
_chemical_formula_sum 'Ca2 Bi1 Os1 N1'
_cell_length_a 5.198
_cell_length_b 5.198
_cell_length_c 3.863
_cell_angle_alpha 90.00
_cell_angle_beta 90.00
_cell_angle_gamma 90.00
_space_group_name_H-M_alt 'P 4/m m m'
_space_group_IT_number 123
_space_group_name_Hall '-P 4 2'
loop_
_atom_site_label
_atom_site_fract_x
_atom_site_fract_y
_atom_site_fract_z
Ca1 0.000 0.500 0.000
Bi1 0.000 0.000 0.500
Os1 0.500 0.500 0.500
N1 0.500 0.500 0.000

=====

# PBE Ca2BiOsN, relaxed
# Relative energy among the computed polymorphs in meV/atom: 2203
# Total moment in Bohr magnetons per cell: 0.67
# Uncorrected formation energy in eV per atom: 1.73
# ρ in g/cm3: 4.6
# Fermi-level density of states in states/eV per atom: 1.5205
data_Ca2BiOsN
_chemical_formula_sum 'Ca2 Bi1 Os1 N1'
_cell_length_a 5.978
_cell_length_b 5.978
_cell_length_c 4.958
_cell_angle_alpha 90.00
_cell_angle_beta 90.00
_cell_angle_gamma 90.00
_space_group_name_H-M_alt 'P 4/m m m'
_space_group_IT_number 123
_space_group_name_Hall '-P 4 2'
loop_
_atom_site_label
_atom_site_fract_x
_atom_site_fract_y
_atom_site_fract_z
Ca1 0.000 0.500 0.000
Bi1 0.000 0.000 0.000
Os1 0.000 0.000 0.500
N1 0.500 0.500 0.500

=====

# PBE Ca6Bi2PN, relaxed
# Total moment in Bohr magnetons per cell: 0.00
# Uncorrected formation energy in eV per atom: -0.97
# ρ in g/cm3: 4.2
# Fermi-level density of states in states/eV per atom: 0.0119
data_Ca6Bi2PN
_chemical_formula_sum 'Ca6 Bi2 P1 N1'
_cell_length_a 5.223
_cell_length_b 5.223
_cell_length_c 10.241
_cell_angle_alpha 90.00
_cell_angle_beta 90.00
_cell_angle_gamma 90.00
_space_group_name_H-M_alt 'P 4/m m m'
_space_group_IT_number 123
_space_group_name_Hall '-P 4 2'
loop_
_atom_site_label
_atom_site_fract_x
_atom_site_fract_y
_atom_site_fract_z
Ca1 0.000 0.000 0.227
Ca2 0.000 0.500 0.000
Ca3 0.000 0.500 0.500
Bi1 0.500 0.500 0.242
P1 0.000 0.000 0.500
N1 0.000 0.000 0.000

=====

# PBE Ca4BiPN, relaxed
# Total moment in Bohr magnetons per cell: 0.00
# Uncorrected formation energy in eV per atom: -0.91
# ρ in g/cm3: 3.9
# Fermi-level density of states in states/eV per atom: 0.5437
data_Ca4BiPN
_chemical_formula_sum 'Ca16 Bi4 P4 N4'
_cell_length_a 6.694
_cell_length_b 15.648
_cell_length_c 6.709
_cell_angle_alpha 90.00
_cell_angle_beta 90.00
_cell_angle_gamma 90.00
_space_group_name_H-M_alt 'C m c m'
_space_group_IT_number 63
_space_group_name_Hall '-C 2c 2'
loop_
_atom_site_label
_atom_site_fract_x
_atom_site_fract_y
_atom_site_fract_z
Ca1 0.000 0.079 0.250
Ca2 0.000 0.404 0.250
Ca3 0.250 0.250 0.000
Bi1 0.000 0.396 0.750
P1 0.000 0.118 0.750
N1 0.000 0.250 0.250

=====

# PBE Ca3Pa3BiN8, relaxed
# Total moment in Bohr magnetons per cell: 0.00
# Uncorrected formation energy in eV per atom: -1.08
# ρ in g/cm3: 7.5
data_Ca3Pa3BiN8
_chemical_formula_sum 'Ca9 Pa9 Bi3 N24'
_cell_length_a 7.1432
_cell_length_b 7.1432
_cell_length_c 16.9718
_cell_angle_alpha 90.00
_cell_angle_beta 90.00
_cell_angle_gamma 120.00
_space_group_name_H-M_alt 'R -3 m'
_space_group_IT_number 166
_space_group_name_Hall '-R 3 2"'
loop_
_atom_site_label
_atom_site_fract_x
_atom_site_fract_y
_atom_site_fract_z
Ca1 0.0000 0.5000 0.0000
Pa1 0.0000 0.5000 0.5000
Bi1 0.0000 0.0000 0.5000
N1 0.0000 0.0000 0.2433
N2 0.0231 0.5116 0.7670

=====

# PBE Ca12BiPb4N3, relaxed
# Total moment in Bohr magnetons per cell: 0.00
# Uncorrected formation energy in eV per atom: -0.66
# ρ in g/cm3: 4.7
# Fermi-level density of states in states/eV per atom: 0.5429
data_Ca12BiPb4N3
_chemical_formula_sum 'Ca24 Bi2 Pb8 N6'
_cell_length_a 10.362
_cell_length_b 10.362
_cell_length_c 10.362
_cell_angle_alpha 90.00
_cell_angle_beta 90.00
_cell_angle_gamma 90.00
_space_group_name_H-M_alt 'I m -3 m'
_space_group_IT_number 229
_space_group_name_Hall '-I 4 2 3'
loop_
_atom_site_label
_atom_site_fract_x
_atom_site_fract_y
_atom_site_fract_z
Ca1 0.000 0.000 0.284
Ca2 0.000 0.250 0.500
Bi1 0.000 0.000 0.000
Pb1 0.250 0.250 0.250
N1 0.000 0.000 0.500

=====

# PBE Ca2Pm4Bi3N2, relaxed
# Total moment in Bohr magnetons per cell: 0.00
# Uncorrected formation energy in eV per atom: -1.01
# ρ in g/cm3: 7.1
# Fermi-level density of states in states/eV per atom: 0.3698
data_Ca2Pm4Bi3N2
_chemical_formula_sum 'Ca4 Pm8 Bi6 N4'
_cell_length_a 4.888
_cell_length_b 4.888
_cell_length_c 25.894
_cell_angle_alpha 90.00
_cell_angle_beta 90.00
_cell_angle_gamma 90.00
_space_group_name_H-M_alt 'I 4/m m m'
_space_group_IT_number 139
_space_group_name_Hall '-I 4 2'
loop_
_atom_site_label
_atom_site_fract_x
_atom_site_fract_y
_atom_site_fract_z
Ca1 0.000 0.000 0.193
Pm1 0.000 0.500 0.087
Bi1 0.000 0.000 0.321
Bi2 0.000 0.000 0.500
N1 0.000 0.000 0.101